## Cs8NaAu5 (GGA-PBE)

Data for crystalline Cs8NaAu5 at its relaxed geometry.

Summary:
ρ, g/cm³: 4.08
ΔE_f, eV/f.u.: -3.2

Cell: 13.270 13.270 12.759 Å, 103.37 103.37 22.70°
Atoms (fractional coordinates):
Cs  0.000  0.000  0.000
Cs  0.195  0.195  0.691
Cs  0.263  0.263  0.351
Cs  0.342  0.342  0.034
Cs  0.509  0.509  0.649
Cs  0.589  0.589  0.331
Cs  0.657  0.657  0.991
Cs  0.851  0.851  0.682
Na  0.926  0.926  0.341
Au  0.083  0.083  0.812
Au  0.132  0.132  0.174
Au  0.426  0.426  0.841
Au  0.719  0.719  0.508
Au  0.768  0.768  0.870

***

## PmEr2Sc2 (GGA-PBE)

Data for crystalline PmEr2Sc2 at its relaxed geometry.

Summary:
ρ, g/cm³: 6.18
ΔE_f, eV/f.u.: 1.4
Polymorph energy (0 for the lowest one), eV per atom: 0.235

Cell: 5.880 5.880 5.151 Å, 108.60 108.60 68.76°
Atoms (fractional coordinates):
Pm  0.000  0.000  0.000
Er  0.385  0.385  0.134
Er  0.615  0.615  0.866
Sc  0.000  0.500  0.500
Sc  0.500  0.000  0.500

***

- Look up the ΔE_f of the first one.
  -3.2 eV/f.u.